Record 1
VASP calculation (GGA+U) on a relaxed structure of Li2TmMoO4.

Output
Fermi-level density of states: 0.00 states/eV per atom
DFT total energy: -108.6 eV for the cell shown
theoretical density: 6.23 g/cm³

abc: 4.3832 4.3832 9.5105
angles: 90.00 90.00 90.00
Space group I-4m2 (No. 119)
Asymmetric unit:
Li (0.0000, 0.0000, 0.0000)
Li (0.0000, 0.5000, 0.2500)
Tm (0.0000, 0.5000, 0.7500)
Mo (0.0000, 0.0000, 0.5000)
O (0.0000, 0.0000, 0.2703)
O (0.0000, 0.5000, 0.5117)


Record 2
VASP calculation (GGA+U) on a relaxed structure of Li2TmMoO6.

Output
Fermi-level density of states: 0.14 states/eV per atom
DFT total energy: -131.8 eV for the cell shown
theoretical density: 5.47 g/cm³

abc: 5.4206 5.3446 9.5163
angles: 90.00 124.43 90.00
Space group P2_1/c (No. 14)
Asymmetric unit:
Li (0.2063, 0.0267, 0.2405)
Tm (0.0000, 0.0000, 0.5000)
Mo (0.5000, 0.0000, 0.0000)
O (0.1627, 0.0680, 0.7680)
O (0.2383, 0.6382, 0.5539)
O (0.4405, 0.1631, 0.5658)


Record 3
VASP calculation (GGA+U) on a relaxed structure of Li2UMoO6.

Output
DFT total energy: -76.0 eV for the cell shown
theoretical density: 6.22 g/cm³

abc: 5.3085 5.3429 5.6938
angles: 89.85 62.31 60.26
Space group P1 (No. 1)
Asymmetric unit:
Li (0.0000, 0.0000, 0.0000)
Li (0.0119, 0.4923, 0.4947)
U (0.5718, 0.7140, 0.1480)
Mo (0.5736, 0.2110, 0.6472)
O (0.0624, 0.6003, 0.8870)
O (0.0795, 0.8243, 0.3791)
O (0.4480, 0.9556, 0.8795)
O (0.4603, 0.1030, 0.3817)
O (0.7182, 0.3277, 0.8772)
O (0.7254, 0.4402, 0.3838)